1.
NaFeSi | PBE | relaxed

a b c (Å): 2.6535 3.6994 10.4953
angles (deg): 90.00 90.35 90.00
Closest atoms and distances in Å follow each position.
Element x y z (fractional)
1 Si 0.7462 0.7500 0.3617  5 Fe 2.31-2.35
2 Fe 0.2477 0.2500 0.4185  5 Si 2.31-2.35
3 Na 0.7593 0.7500 0.8594  2 Na 2.65, 1 Fe 2.92
4 Fe 0.7523 0.7500 0.5815  5 Si 2.31-2.35
5 Si 0.2538 0.2500 0.6383  5 Fe 2.31-2.35
6 Na 0.2407 0.2500 0.1406  2 Na 2.65, 1 Fe 2.92

Summary:
SG: P2_1/m (11)
Uncorrected formation energy in eV/atom: -0.047

2.
Rh3Br | PBE | relaxed

a b c (Å): 5.0577 5.0577 5.0577
angles (deg): 90.00 90.00 90.00
Closest atoms and distances in Å follow each position.
Element x y z (fractional)
1 Rh 0.5000 0.0000 0.2500  2 Rh 2.53, 4 Br 2.83
2 Br 0.0000 0.0000 0.0000  12 Rh 2.83
3 Rh 0.2500 0.5000 0.0000  2 Rh 2.53, 4 Br 2.83
4 Br 0.5000 0.5000 0.5000  12 Rh 2.83
5 Rh 0.0000 0.7500 0.5000  2 Rh 2.53, 4 Br 2.83
6 Rh 0.5000 0.0000 0.7500  2 Rh 2.53, 4 Br 2.83
7 Rh 0.7500 0.5000 0.0000  2 Rh 2.53, 4 Br 2.83
8 Rh 0.0000 0.2500 0.5000  2 Rh 2.53, 4 Br 2.83

Summary:
SG: Pm-3n (223)
Uncorrected formation energy in eV/atom: 0.921